# 1
An optimized crystal structure of K2BeAg, computed with GGA-PBEsol.

a = 4.1431 Å, b = 4.1431 Å, c = 27.5994 Å
α = 90.00°, β = 90.00°, γ = 120.00°
Space group R3m (No. 160, hexagonal axes)
Symmetry-distinct sites (fractional):
K1 0.0000 0.0000 0.0000 x3
K2 0.0000 0.0000 0.1787 x3
Be1 0.0000 0.0000 0.4227 x3
Ag1 0.0000 0.0000 0.7560 x3

Its formation energy is 1.39 eV per formula unit. The value obtained for the total magnetization is 0.000 μB/atom.

=====

# 2
An optimized crystal structure of Ta2OsPt, computed with GGA-PBEsol.

a = 2.898 Å, b = 3.828 Å, c = 5.715 Å
α = 90.00°, β = 90.00°, γ = 90.00°
Space group Pmmm (No. 47)
Symmetry-distinct sites (fractional):
Ta1 0.000 0.000 0.243 x2
Os1 0.500 0.500 0.000 x1
Pt1 0.500 0.500 0.500 x1

Its formation energy is -1.63 eV per formula unit. The value obtained for the total magnetization is 0.000 μB/atom.

=====

# 3
An optimized crystal structure of PrInNi2, computed with GGA-PBEsol.

a = 5.148 Å, b = 4.010 Å, c = 7.091 Å
α = 90.00°, β = 90.00°, γ = 90.00°
Space group Pmma (No. 51)
Symmetry-distinct sites (fractional):
Pr1 0.250 0.000 0.224 x2
In1 0.250 0.500 0.841 x2
Ni1 0.000 0.500 0.500 x2
Ni2 0.250 0.000 0.605 x2

Its formation energy is -1.66 eV per formula unit. The value obtained for the total magnetization is 0.000 μB/atom.

=====

# 4
An optimized crystal structure of MnBeAs2, computed with GGA-PBEsol.

a = 4.009 Å, b = 4.009 Å, c = 6.333 Å
α = 90.00°, β = 90.00°, γ = 90.00°
Space group I4/mmm (No. 139)
Symmetry-distinct sites (fractional):
Mn1 0.000 0.000 0.000 x2
Be1 0.000 0.000 0.500 x2
As1 0.000 0.500 0.250 x4

As for the offset from the most stable computed form: 21.6 kJ per mole of atoms. Its formation energy is 1.25 eV per formula unit. The value obtained for the total magnetization is 0.000 μB/atom.

=====

# 5
An optimized crystal structure of ZrAl2Hg, computed with GGA-PBEsol.

a = 3.039 Å, b = 4.539 Å, c = 5.497 Å
α = 90.00°, β = 90.00°, γ = 90.00°
Space group Pmm2 (No. 25)
Symmetry-distinct sites (fractional):
Zr1 0.000 0.000 0.000 x1
Al1 0.500 0.000 0.526 x1
Al2 0.500 0.500 0.781 x1
Hg1 0.500 0.500 0.266 x1

Its formation energy is -0.97 eV per formula unit. The value obtained for the total magnetization is 0.000 μB/atom.

=====

# 6
An optimized crystal structure of InMoOs2, computed with GGA-PBEsol.

a = 2.843 Å, b = 3.760 Å, c = 5.871 Å
α = 90.00°, β = 90.00°, γ = 90.00°
Space group Pmmm (No. 47)
Symmetry-distinct sites (fractional):
In1 0.000 0.000 0.000 x1
Mo1 0.000 0.000 0.500 x1
Os1 0.500 0.500 0.271 x2

Its formation energy is 1.32 eV per formula unit. The value obtained for the total magnetization is 0.000 μB/atom.